Record 1
DFT (PBE) results for a relaxed La5Sm2Mg crystal.

The space group is Imm2 (No. 44) and the conventional cell measures 7.3399, 10.2144 and 7.3245 Å, with angles of 90.00, 90.00 and 90.00 degrees. The distinct sites, in fractional coordinates, are La at (0.0000, 0.0000, 0.0000), La at (0.2496, 0.2497, 0.2501), Sm at (0.0000, 0.0000, 0.5004), Sm at (0.0000, 0.5000, 0.0007) and Mg at (0.0000, 0.5000, 0.4999).

=====

Record 2
DFT (PBE) results for a relaxed LaNbB2Mo crystal.

The space group is P4/mmm (No. 123) and the conventional cell measures 4.4307, 4.4307 and 4.8465 Å, with angles of 90.00, 90.00 and 90.00 degrees. The distinct sites, in fractional coordinates, are La at (0.0000, 0.0000, 0.0000), Nb at (0.5000, 0.5000, 0.5000), B at (0.0000, 0.5000, 0.0000) and Mo at (0.0000, 0.0000, 0.5000).

=====

It is found that the V values, taken in the order of the records, are 549.1 95.1 Å³ per cell.
It is found that the formation energy values, taken in the order of the records, are -0.01 2.49 eV per atom.